Crystalline RbNaPt at its relaxed geometry, computed with GGA-PBE.

Values from the calculation:
Excess energy over the best structure of this formula in the dataset: 0 meV per atom
Uncorrected energy: -2.692 eV per atom

a = 7.3931 Å, b = 7.3931 Å, c = 7.3931 Å
α = 90.00°, β = 90.00°, γ = 90.00°
With the nearest neighbours (Å) after each atom.
Space group F-43m (No. 216)
One atom of each set of equivalent atoms:
Rb (0.0000, 0.0000, 0.0000) x4  4 Pt 3.20
Na (0.0000, 0.0000, 0.5000) x4  4 Pt 3.20
Pt (0.2500, 0.2500, 0.7500) x4  4 Na 3.20, 4 Rb 3.20